No. 1
LaYPt4: optimized geometry, GGA-PBEsol. Values from VASP.

Output
- SG = No. 216
- N(E_F) (states/eV/atom) = 0.34
- DFT total energy (eV/atom) = -7.7493

Structure (Quantum ESPRESSO input):
```
&SYSTEM
  ibrav = 0, nat = 6, ntyp = 3
/
ATOMIC_SPECIES
Y 88.91 Y.upf
Pt 195.08 Pt.upf
La 138.91 La.upf
CELL_PARAMETERS angstrom
-0.8849 -3.6319 3.9272
-3.2538 -4.2401 -0.9117
2.0918 -4.9863 -0.3974
ATOMIC_POSITIONS angstrom
Y -1.5352 -9.6437 1.9637
Pt -0.7684 -4.8270 0.9829
Pt 0.2741 -7.3122 0.7848
Pt -1.2094 -6.6371 2.9402
Pt -2.3901 -6.9402 0.5285
La 0.0000 0.0000 0.0000
```


No. 2
Cd2TePb: optimized geometry, GGA-PBEsol. Values from VASP.

Output
- energy above the most stable polymorph in this dataset (eV per formula unit) = 0.136
- uncorrected formation energy (kJ/mol of atoms) = 1
- SG = No. 12
- N(E_F) (states/eV/atom) = 0.33
- DFT total energy (eV/atom) = -2.4653

Structure (Quantum ESPRESSO input):
```
&SYSTEM
  ibrav = 0, nat = 4, ntyp = 3
/
ATOMIC_SPECIES
Pb 207.20 Pb.upf
Te 127.60 Te.upf
Cd 112.41 Cd.upf
CELL_PARAMETERS angstrom
-2.5227 -2.7595 1.2226
1.7635 0.6134 5.0235
-2.7528 4.6915 -1.4193
ATOMIC_POSITIONS angstrom
Pb 0.8818 0.3067 2.5118
Te -1.2614 -1.3798 0.6113
Cd -1.5245 1.7802 0.8726
Cd -1.9875 0.7651 3.9542
```


No. 3
BaAg2W: optimized geometry, GGA-PBEsol. Values from VASP.

Output
- energy above the most stable polymorph in this dataset (eV per formula unit) = 0.759
- SG = No. 8
- N(E_F) (states/eV/atom) = 0.77
- DFT total energy (eV/atom) = -4.7640

Structure (Quantum ESPRESSO input):
```
&SYSTEM
  ibrav = 0, nat = 4, ntyp = 3
/
ATOMIC_SPECIES
Ag 107.87 Ag.upf
Ba 137.33 Ba.upf
W 183.84 W.upf
CELL_PARAMETERS angstrom
-1.4146 -2.5041 -0.6129
1.8985 1.6670 -4.1378
5.3845 -3.5136 1.9273
ATOMIC_POSITIONS angstrom
Ag 0.5893 -0.9083 -4.7032
Ag 5.0189 -2.6511 -0.7526
Ba 3.8937 -1.3517 -3.4638
W 0.7339 -1.6185 -2.1352
```


No. 4
NaVF3: optimized geometry, GGA-PBEsol. Values from VASP.

Output
- energy above the most stable polymorph in this dataset (eV per formula unit) = 0.449
- uncorrected formation energy (kJ/mol of atoms) = -237
- SG = No. 221
- N(E_F) (states/eV/atom) = 0.31
- DFT total energy (eV/atom) = -5.8230

Structure (Quantum ESPRESSO input):
```
&SYSTEM
  ibrav = 0, nat = 5, ntyp = 3
/
ATOMIC_SPECIES
Na 22.99 Na.upf
V 50.94 V.upf
F 19.00 F.upf
CELL_PARAMETERS angstrom
4.0486 0.0000 0.0000
0.0000 4.0486 0.0000
0.0000 0.0000 4.0486
ATOMIC_POSITIONS angstrom
Na 0.0000 0.0000 0.0000
V 2.0243 2.0243 2.0243
F 0.0000 2.0243 2.0243
F 2.0243 0.0000 2.0243
F 2.0243 2.0243 0.0000
```


No. 5
Sr2SeCl: optimized geometry, GGA-PBEsol. Values from VASP.

Output
- energy above the most stable polymorph in this dataset (eV per formula unit) = 0.282
- uncorrected formation energy (kJ/mol of atoms) = -167
- SG = No. 44
- N(E_F) (states/eV/atom) = 0.65
- DFT total energy (eV/atom) = -4.1118

Structure (Quantum ESPRESSO input):
```
&SYSTEM
  ibrav = 0, nat = 4, ntyp = 3
/
ATOMIC_SPECIES
Sr 87.62 Sr.upf
Se 78.96 Se.upf
Cl 35.45 Cl.upf
CELL_PARAMETERS angstrom
-1.4306 -1.2105 3.4999
-2.6971 -2.4043 -1.9341
6.8078 -3.5763 -0.7059
ATOMIC_POSITIONS angstrom
Sr 0.4106 -0.4659 0.0067
Sr 1.4195 -4.3435 -0.9221
Se 1.2041 -2.7836 1.7811
Cl 4.3898 -4.9818 0.0713
```


No. 6
DyLuZn2: optimized geometry, GGA-PBEsol. Values from VASP.

Output
- SG = No. 225
- N(E_F) (states/eV/atom) = 1.04
- DFT total energy (eV/atom) = -3.6018

Structure (Quantum ESPRESSO input):
```
&SYSTEM
  ibrav = 0, nat = 4, ntyp = 3
/
ATOMIC_SPECIES
Zn 65.41 Zn.upf
Lu 174.97 Lu.upf
Dy 162.50 Dy.upf
CELL_PARAMETERS angstrom
-1.4101 0.1319 4.6949
3.3259 -0.4674 3.5731
1.1511 3.8590 2.7983
ATOMIC_POSITIONS angstrom
Zn 2.3002 2.6426 8.2997
Zn 0.7667 0.8809 2.7666
Lu 0.0000 0.0000 0.0000
Dy 1.5335 1.7618 5.5332
```


No. 7
BaHfTlFe2: optimized geometry, GGA-PBEsol. Values from VASP.

Output
- SG = No. 123
- N(E_F) (states/eV/atom) = 1.54
- DFT total energy (eV/atom) = -5.7986

Structure (Quantum ESPRESSO input):
```
&SYSTEM
  ibrav = 0, nat = 5, ntyp = 4
/
ATOMIC_SPECIES
Tl 204.38 Tl.upf
Hf 178.49 Hf.upf
Ba 137.33 Ba.upf
Fe 55.84 Fe.upf
CELL_PARAMETERS angstrom
4.8362 0.0000 0.0000
0.0000 4.8362 0.0000
0.0000 0.0000 5.6034
ATOMIC_POSITIONS angstrom
Tl 0.0000 0.0000 2.8017
Hf 0.0000 0.0000 0.0000
Ba 2.4181 2.4181 2.8017
Fe 0.0000 2.4181 0.0000
Fe 2.4181 0.0000 0.0000
```


No. 8
TlIn2Ga: optimized geometry, GGA-PBEsol. Values from VASP.

Output
- energy above the most stable polymorph in this dataset (eV per formula unit) = 0.072
- SG = No. 122
- N(E_F) (states/eV/atom) = 0.52
- DFT total energy (eV/atom) = -2.8973

Structure (Quantum ESPRESSO input):
```
&SYSTEM
  ibrav = 0, nat = 8, ntyp = 3
/
ATOMIC_SPECIES
Tl 204.38 Tl.upf
Ga 69.72 Ga.upf
In 114.82 In.upf
CELL_PARAMETERS angstrom
-5.3775 -1.8704 -1.8103
-3.8478 -2.8075 4.4723
-4.9396 4.2562 0.4173
ATOMIC_POSITIONS angstrom
Tl -8.4269 -0.6785 1.0871
Tl 0.0000 0.0000 0.0000
Ga -5.7381 0.2567 1.9922
Ga -2.6888 -0.9352 -0.9051
In -6.8595 -1.0401 4.1986
In -5.9611 1.0860 -0.6667
In -3.9822 -1.8352 1.4023
In -11.5271 0.9458 1.2245
```


No. 9
LiTiBeNb2: optimized geometry, GGA-PBEsol. Values from VASP.

Output
- SG = No. 123
- N(E_F) (states/eV/atom) = 0.72
- DFT total energy (eV/atom) = -5.9856

Structure (Quantum ESPRESSO input):
```
&SYSTEM
  ibrav = 0, nat = 5, ntyp = 4
/
ATOMIC_SPECIES
Be 9.01 Be.upf
Nb 92.91 Nb.upf
Li 6.94 Li.upf
Ti 47.87 Ti.upf
CELL_PARAMETERS angstrom
-3.6209 1.3758 2.4530
1.3038 -2.7222 3.4512
2.5200 3.4616 1.7784
ATOMIC_POSITIONS angstrom
Be 1.2600 1.7308 0.8892
Nb 0.6519 -1.3611 1.7256
Nb -1.8104 0.6879 1.2265
Li 0.1015 1.0576 3.8413
Ti 0.0000 0.0000 0.0000
```


No. 10
Ga3PI: optimized geometry, GGA-PBEsol. Values from VASP.

Output
- uncorrected formation energy (kJ/mol of atoms) = 17
- SG = No. 221
- N(E_F) (states/eV/atom) = 0.64
- DFT total energy (eV/atom) = -3.3388

Structure (Quantum ESPRESSO input):
```
&SYSTEM
  ibrav = 0, nat = 5, ntyp = 3
/
ATOMIC_SPECIES
I 126.90 I.upf
P 30.97 P.upf
Ga 69.72 Ga.upf
CELL_PARAMETERS angstrom
5.0013 0.0000 0.0000
0.0000 5.0013 0.0000
0.0000 0.0000 5.0013
ATOMIC_POSITIONS angstrom
I 2.5007 2.5007 2.5007
P 0.0000 0.0000 0.0000
Ga 0.0000 2.5007 0.0000
Ga 0.0000 0.0000 2.5007
Ga 2.5007 0.0000 0.0000
```


No. 11
SrTcHg2: optimized geometry, GGA-PBEsol. Values from VASP.

Output
- energy above the most stable polymorph in this dataset (eV per formula unit) = 0.051
- SG = No. 119
- N(E_F) (states/eV/atom) = 1.00
- DFT total energy (eV/atom) = -3.1177

Structure (Quantum ESPRESSO input):
```
&SYSTEM
  ibrav = 0, nat = 4, ntyp = 3
/
ATOMIC_SPECIES
Hg 200.59 Hg.upf
Sr 87.62 Sr.upf
Tc 98.00 Tc.upf
CELL_PARAMETERS angstrom
-3.9725 -1.7033 -0.1190
1.6009 -3.8203 1.2404
0.5542 3.9272 3.8437
ATOMIC_POSITIONS angstrom
Hg 0.0000 0.0000 0.0000
Hg -2.3020 -0.2690 2.1427
Sr -1.1858 -2.7618 0.5607
Tc 0.4846 -1.3275 2.8224
```


No. 12
BeAlRh: optimized geometry, GGA-PBEsol. Values from VASP.

Output
- SG = No. 156
- N(E_F) (states/eV/atom) = 0.54
- DFT total energy (eV/atom) = -5.6516

Structure (Quantum ESPRESSO input):
```
&SYSTEM
  ibrav = 0, nat = 3, ntyp = 3
/
ATOMIC_SPECIES
Be 9.01 Be.upf
Rh 102.91 Rh.upf
Al 26.98 Al.upf
CELL_PARAMETERS angstrom
2.7464 0.0000 0.0000
-1.3732 2.3785 0.0000
0.0000 0.0000 5.7743
ATOMIC_POSITIONS angstrom
Be 0.0000 1.5857 3.7384
Rh 1.3732 0.7928 2.0253
Al 0.0000 0.0000 0.0107
```